# 1
# BaCrIn (PBE, optimized geometry)
data_BaCrIn
_symmetry_space_group_name_H-M 'I 4 m m'
_symmetry_Int_Tables_number 107
_symmetry_space_group_name_Hall 'I 4 -2'
_cell_length_a 3.846
_cell_length_b 3.846
_cell_length_c 12.429
_cell_angle_alpha 90.00
_cell_angle_beta 90.00
_cell_angle_gamma 90.00
loop_
_atom_site_label
_atom_site_type_symbol
_atom_site_fract_x
_atom_site_fract_y
_atom_site_fract_z
Ba1 Ba 0.000 0.000 0.000
Cr1 Cr 0.000 0.000 0.708
In1 In 0.000 0.000 0.295
# - formation energy (meV per atom) = 276
# - total magnetic moment (μB per formula unit) = 4.5


# 2
# BaCoCl (PBE, optimized geometry)
data_BaCoCl
_symmetry_space_group_name_H-M 'P -6 m 2'
_symmetry_Int_Tables_number 187
_symmetry_space_group_name_Hall 'P -6 2'
_cell_length_a 4.1609
_cell_length_b 4.1609
_cell_length_c 4.4372
_cell_angle_alpha 90.00
_cell_angle_beta 90.00
_cell_angle_gamma 120.00
loop_
_atom_site_label
_atom_site_type_symbol
_atom_site_fract_x
_atom_site_fract_y
_atom_site_fract_z
Ba1 Ba 0.0000 0.0000 0.0000
Co1 Co 0.3333 0.6667 0.5000
Cl1 Cl 0.6667 0.3333 0.5000
# - formation energy (no corrections) (eV per atom) = -0.225
# - total magnetic moment (μB per formula unit) = 0.0


# 3
# Ga2Rh2Pb (PBE, optimized geometry)
data_Ga2Rh2Pb
_symmetry_space_group_name_H-M 'P 4/m b m'
_symmetry_Int_Tables_number 127
_symmetry_space_group_name_Hall '-P 4 2ab'
_cell_length_a 7.559
_cell_length_b 7.559
_cell_length_c 2.985
_cell_angle_alpha 90.00
_cell_angle_beta 90.00
_cell_angle_gamma 90.00
loop_
_atom_site_label
_atom_site_type_symbol
_atom_site_fract_x
_atom_site_fract_y
_atom_site_fract_z
Ga1 Ga 0.144 0.356 0.000
Rh1 Rh 0.147 0.647 0.500
Pb1 Pb 0.000 0.000 0.500
# - formation energy (meV per atom) = -335
# - total magnetic moment (μB per formula unit) = 0.0


# 4
# AlTc2P (PBE, optimized geometry)
data_AlTc2P
_symmetry_space_group_name_H-M 'I m m m'
_symmetry_Int_Tables_number 71
_symmetry_space_group_name_Hall '-I 2 2'
_cell_length_a 2.999
_cell_length_b 4.746
_cell_length_c 8.012
_cell_angle_alpha 90.00
_cell_angle_beta 90.00
_cell_angle_gamma 90.00
loop_
_atom_site_label
_atom_site_type_symbol
_atom_site_fract_x
_atom_site_fract_y
_atom_site_fract_z
Al1 Al 0.000 0.000 0.000
Tc1 Tc 0.000 0.500 0.220
P1 P 0.000 0.000 0.500
# - formation energy (meV per atom) = -219
# - total magnetic moment (μB per formula unit) = 0.0


In eV/atom, the uncorrected energy values for the records above are, in order, -4.486, -3.850, -5.228, -7.690.